Here is crystalline La5DyTl6 at its relaxed geometry from Alexandria via LeMat-Bulk. Energies are from PBE-GGA.

The space group is Cmmm (No. 65) and the conventional cell measures 5.616, 16.873 and 7.831 Å, with angles of 90.00, 90.00 and 90.00 degrees. The distinct sites, in fractional coordinates, are La at (0.000, 0.000, 0.000), La at (0.000, 0.328, 0.000), La at (0.000, 0.334, 0.500), Dy at (0.000, 0.000, 0.500), Tl at (0.000, 0.161, 0.258) and Tl at (0.000, 0.500, 0.254).

For the formation energy, the calculation gives -0.41 eV per atom.